The following is a DFT calculation (PBE-GGA) of a geometry-optimized ZrNbGaCo2 structure.

```
5
Lattice="4.283 0.000 0.000 0.000 4.283 0.000 0.000 0.000 4.922" Properties=species:S:1:pos:R:3 pbc="T T T"
Zr 0.000 0.000 0.000
Nb 2.142 2.142 0.000
Ga 0.000 0.000 2.461
Co 0.000 2.142 2.461
Co 2.142 0.000 2.461
```

## Properties
* magnetization: 1.9 μB per cell
* energy: -6.35 eV/atom
* E_form: 0.822 eV per atom